Entry 1:
Density functional theory data (PBE) for a relaxed NaCd5 crystal.

Electronic total energy = -1.01 eV/atom
Crystal system = hexagonal
Calculated density = 6.83 Mg/m³
Space group = P6/mmm

Cell lengths 5.8160, 5.8160, 4.8533 Å; angles 90.00, 90.00, 120.00 degrees
Positions (direct):
Na: 0.0000 0.0000 0.0000
Cd: 0.0000 0.5000 0.5000
Cd: 0.3333 0.6667 0.0000
Cd: 0.5000 0.0000 0.5000
Cd: 0.5000 0.5000 0.5000
Cd: 0.6667 0.3333 0.0000


Entry 2:
Density functional theory data (PBE) for a relaxed NaNbCd crystal.

Electronic total energy = -2.78 eV/atom
Crystal system = cubic
Calculated density = 4.60 Mg/m³
Space group = F-43m

Cell lengths 6.9097, 6.9097, 6.9097 Å; angles 90.00, 90.00, 90.00 degrees
Positions (direct):
Na: 0.0000 0.0000 0.0000
Na: 0.0000 0.5000 0.5000
Na: 0.5000 0.0000 0.5000
Na: 0.5000 0.5000 0.0000
Nb: 0.2500 0.2500 0.7500
Nb: 0.2500 0.7500 0.2500
Nb: 0.7500 0.2500 0.2500
Nb: 0.7500 0.7500 0.7500
Cd: 0.0000 0.0000 0.5000
Cd: 0.0000 0.5000 0.0000
Cd: 0.5000 0.0000 0.0000
Cd: 0.5000 0.5000 0.5000